Density functional theory data (PBE-GGA) for a geometry-optimized LuPaNi2 structure.

Summary:
formation energy = -274 meV/atom
density of states at the Fermi level = 0.83 states/eV/atom
calculated total energy = -6.67 eV per atom
polymorph energy (0 for the lowest one) = 55 meV per atom

a b c (Å): 7.251 7.251 7.251
angles (deg): 29.21 29.21 29.21
Fractional coordinates of all 4 atoms:
Lu 0.000 0.000 0.000
Pa 0.500 0.500 0.500
Ni 0.244 0.244 0.244
Ni 0.756 0.756 0.756